No. 1
A crystal of TiS2I relaxed with PBEsol. Source: Alexandria, functional meta-GGA SCAN.

DFT total energy = -18.992 eV/atom
ΔE_f (raw) = -3.940 eV per formula unit
Polymorph energy (0 for the lowest one) = 0.000 eV/atom

Geometry as CIF:
```
data_TiS2I
_space_group_name_H-M_alt 'R -3 m'
_space_group_IT_number 166
_space_group_name_Hall '-R 3 2"'
_cell_length_a 3.3363
_cell_length_b 3.3363
_cell_length_c 31.8142
_cell_angle_alpha 90.00
_cell_angle_beta 90.00
_cell_angle_gamma 120.00
loop_
_atom_site_label
_atom_site_type_symbol
_atom_site_fract_x
_atom_site_fract_y
_atom_site_fract_z
Ti1 Ti 0.0000 0.0000 0.0000
S1 S 0.0000 0.0000 0.3783
I1 I 0.0000 0.0000 0.5000
```



No. 2
A crystal of GeRu2I relaxed with PBEsol. Source: Alexandria, functional meta-GGA SCAN.

DFT total energy = -30.715 eV/atom
ΔE_f (raw) = 2.620 eV per formula unit

Geometry as CIF:
```
data_GeRu2I
_space_group_name_H-M_alt 'F m -3 m'
_space_group_IT_number 225
_space_group_name_Hall '-F 4 2 3'
_cell_length_a 6.3356
_cell_length_b 6.3356
_cell_length_c 6.3356
_cell_angle_alpha 90.00
_cell_angle_beta 90.00
_cell_angle_gamma 90.00
loop_
_atom_site_label
_atom_site_type_symbol
_atom_site_fract_x
_atom_site_fract_y
_atom_site_fract_z
Ge1 Ge 0.0000 0.0000 0.0000
Ru1 Ru 0.2500 0.2500 0.2500
I1 I 0.0000 0.0000 0.5000
```



No. 3
A crystal of MnTl2As relaxed with PBEsol. Source: Alexandria, functional meta-GGA SCAN.

Energy of formation from the pure elements = 129 kJ/mol of formula units
DFT total energy = -45.457 eV/atom
Polymorph energy (0 for the lowest one) = 0.265 eV/atom

Geometry as CIF:
```
data_MnTl2As
_space_group_name_H-M_alt 'F m -3 m'
_space_group_IT_number 225
_space_group_name_Hall '-F 4 2 3'
_cell_length_a 7.1105
_cell_length_b 7.1105
_cell_length_c 7.1105
_cell_angle_alpha 90.00
_cell_angle_beta 90.00
_cell_angle_gamma 90.00
loop_
_atom_site_label
_atom_site_type_symbol
_atom_site_fract_x
_atom_site_fract_y
_atom_site_fract_z
Mn1 Mn 0.0000 0.0000 0.0000
Tl1 Tl 0.2500 0.2500 0.2500
As1 As 0.0000 0.0000 0.5000
```



The highest DFT total energy belongs to which entry?
TiS2I



The lowest DFT total energy belongs to which entry?
MnTl2As



Which value of DFT total energy does entry 2 give?
-30.715 eV/atom